The following is a DFT calculation (GGA-PBE) of a geometry-optimized BeFe2Cu structure.

a = 3.4334 Å, b = 2.5098 Å, c = 5.5420 Å
α = 64.76°, β = 90.00°, γ = 90.00°
Last column: nearest neighbours and their distance in Å.
Sites, in units of the cell vectors:
1 Cu 0.5000 0.7500 0.7500  8 Fe 2.50-2.52, 2 Be 2.51, 2 Cu 2.51
2 Be 0.5000 0.2500 0.2500  8 Fe 2.40-2.46, 2 Cu 2.51, 2 Be 2.51
3 Fe 0.0000 0.9944 0.0162  3 Fe 2.35-2.51, 4 Be 2.40-2.46, 4 Cu 2.50-2.52
4 Fe 0.0000 0.5056 0.4838  3 Fe 2.35-2.51, 4 Be 2.40-2.46, 4 Cu 2.50-2.52

Summary:
Crystal system: monoclinic
Magnetic moment (μB/f.u.): 4.56
Calculated volume (Å³ per cell): 43.2
Formation energy from the elements (eV/atom): 0.029